# Hf3ZrMo | Alexandria | PBE | relaxed
data_Hf3ZrMo
_chemical_formula_sum 'Hf3 Zr1 Mo1'
_space_group_name_H-M_alt 'P 1'
_space_group_IT_number 1
_space_group_name_Hall 'P 1'
_cell_length_a 4.993
_cell_length_b 4.993
_cell_length_c 4.993
_cell_angle_alpha 90.00
_cell_angle_beta 90.00
_cell_angle_gamma 90.00
loop_
_atom_site_label
_atom_site_fract_x
_atom_site_fract_y
_atom_site_fract_z
Hf1 0.000 0.000 0.500
Hf2 0.000 0.500 0.000
Hf3 0.500 0.000 0.000
Zr1 0.500 0.500 0.500
Mo1 0.000 0.000 0.000
# ΔE to the lowest computed polymorph ... 0.000 eV per atom
# Energy of formation from the pure elements ... 0.71 eV/atom
# Crystal system ... cubic

# ScCd3In | Alexandria | PBE | relaxed
data_ScCd3In
_chemical_formula_sum 'Sc2 Cd6 In2'
_space_group_name_H-M_alt 'P 1'
_space_group_IT_number 1
_space_group_name_Hall 'P 1'
_cell_length_a 16.010
_cell_length_b 16.010
_cell_length_c 3.187
_cell_angle_alpha 90.00
_cell_angle_beta 90.00
_cell_angle_gamma 162.85
loop_
_atom_site_label
_atom_site_fract_x
_atom_site_fract_y
_atom_site_fract_z
Sc1 0.178 0.822 0.000
Sc2 0.822 0.178 0.000
Cd1 0.081 0.919 0.500
Cd2 0.271 0.729 0.500
Cd3 0.454 0.546 0.000
Cd4 0.546 0.454 0.000
Cd5 0.729 0.271 0.500
Cd6 0.919 0.081 0.500
In1 0.362 0.638 0.500
In2 0.638 0.362 0.500
# ΔE to the lowest computed polymorph ... 0.000 eV per atom
# Energy of formation from the pure elements ... -0.11 eV/atom
# Crystal system ... orthorhombic

# BeRhBr2 | Alexandria | PBE | relaxed
data_BeRhBr2
_chemical_formula_sum 'Be2 Rh2 Br4'
_space_group_name_H-M_alt 'P 1'
_space_group_IT_number 1
_space_group_name_Hall 'P 1'
_cell_length_a 3.752
_cell_length_b 6.879
_cell_length_c 8.093
_cell_angle_alpha 109.07
_cell_angle_beta 90.09
_cell_angle_gamma 99.17
loop_
_atom_site_label
_atom_site_fract_x
_atom_site_fract_y
_atom_site_fract_z
Be1 0.000 0.000 0.000
Be2 0.391 0.445 0.025
Rh1 0.469 0.962 0.136
Rh2 0.826 0.321 0.122
Br1 0.162 0.693 0.266
Br2 0.517 0.663 0.864
Br3 0.550 0.282 0.387
Br4 0.985 0.166 0.805
# Raw formation energy ... -340 meV/atom
# ΔE to the lowest computed polymorph ... 0.065 eV per atom
# Crystal system ... triclinic

# La2BeP | Alexandria | PBE | relaxed
data_La2BeP
_chemical_formula_sum 'La2 Be1 P1'
_space_group_name_H-M_alt 'P 1'
_space_group_IT_number 1
_space_group_name_Hall 'P 1'
_cell_length_a 5.999
_cell_length_b 5.999
_cell_length_c 3.783
_cell_angle_alpha 90.70
_cell_angle_beta 90.70
_cell_angle_gamma 42.69
loop_
_atom_site_label
_atom_site_fract_x
_atom_site_fract_y
_atom_site_fract_z
La1 0.000 0.000 0.000
La2 0.711 0.711 0.491
Be1 0.305 0.305 0.992
P1 0.413 0.413 0.497
# ΔE to the lowest computed polymorph ... 0.000 eV per atom
# Energy of formation from the pure elements ... -0.68 eV/atom
# Crystal system ... monoclinic

# Er10Ga5Co | Alexandria | PBE | relaxed
data_Er10Ga5Co
_chemical_formula_sum 'Er10 Ga5 Co1'
_space_group_name_H-M_alt 'P 1'
_space_group_IT_number 1
_space_group_name_Hall 'P 1'
_cell_length_a 8.839
_cell_length_b 7.439
_cell_length_c 8.789
_cell_angle_alpha 65.38
_cell_angle_beta 49.92
_cell_angle_gamma 64.69
loop_
_atom_site_label
_atom_site_fract_x
_atom_site_fract_y
_atom_site_fract_z
Er1 0.011 0.630 0.699
Er2 0.144 0.856 0.144
Er3 0.301 0.339 0.989
Er4 0.314 0.841 0.686
Er5 0.339 0.301 0.370
Er6 0.504 0.795 0.205
Er7 0.630 0.011 0.661
Er8 0.795 0.504 0.496
Er9 0.841 0.314 0.159
Er10 0.856 0.144 0.856
Ga1 0.070 0.070 0.430
Ga2 0.441 0.441 0.559
Ga3 0.570 0.570 0.930
Ga4 0.696 0.943 0.304
Ga5 0.943 0.696 0.057
Co1 0.197 0.197 0.803
# Energy of formation from the pure elements ... -0.44 eV/atom
# Crystal system ... orthorhombic

# CaSn2Pd | Alexandria | PBE | relaxed
data_CaSn2Pd
_chemical_formula_sum 'Ca1 Sn2 Pd1'
_space_group_name_H-M_alt 'P 1'
_space_group_IT_number 1
_space_group_name_Hall 'P 1'
_cell_length_a 6.178
_cell_length_b 6.178
_cell_length_c 6.178
_cell_angle_alpha 42.94
_cell_angle_beta 42.94
_cell_angle_gamma 42.94
loop_
_atom_site_label
_atom_site_fract_x
_atom_site_fract_y
_atom_site_fract_z
Ca1 0.000 0.000 0.000
Sn1 0.222 0.222 0.222
Sn2 0.778 0.778 0.778
Pd1 0.500 0.500 0.500
# Energy of formation from the pure elements ... -0.60 eV/atom
# Crystal system ... trigonal

# Bi12PbAu4 | Alexandria | PBE | relaxed
data_Bi12PbAu4
_chemical_formula_sum 'Bi12 Pb1 Au4'
_space_group_name_H-M_alt 'P 1'
_space_group_IT_number 1
_space_group_name_Hall 'P 1'
_cell_length_a 8.881
_cell_length_b 8.881
_cell_length_c 8.881
_cell_angle_alpha 109.47
_cell_angle_beta 109.47
_cell_angle_gamma 109.47
loop_
_atom_site_label
_atom_site_fract_x
_atom_site_fract_y
_atom_site_fract_z
Bi1 0.155 0.343 0.498
Bi2 0.155 0.657 0.813
Bi3 0.187 0.845 0.343
Bi4 0.343 0.187 0.845
Bi5 0.343 0.498 0.155
Bi6 0.498 0.155 0.343
Bi7 0.502 0.845 0.657
Bi8 0.657 0.502 0.845
Bi9 0.657 0.813 0.155
Bi10 0.813 0.155 0.657
Bi11 0.845 0.343 0.187
Bi12 0.845 0.657 0.502
Pb1 0.000 0.000 0.000
Au1 0.000 0.000 0.500
Au2 0.000 0.500 0.000
Au3 0.500 0.000 0.000
Au4 0.500 0.500 0.500
# Energy of formation from the pure elements ... 0.02 eV/atom
# Crystal system ... cubic

# SrGeSb2 | Alexandria | PBE | relaxed
data_SrGeSb2
_chemical_formula_sum 'Sr1 Ge1 Sb2'
_space_group_name_H-M_alt 'P 1'
_space_group_IT_number 1
_space_group_name_Hall 'P 1'
_cell_length_a 8.562
_cell_length_b 8.562
_cell_length_c 8.562
_cell_angle_alpha 27.97
_cell_angle_beta 27.97
_cell_angle_gamma 27.97
loop_
_atom_site_label
_atom_site_fract_x
_atom_site_fract_y
_atom_site_fract_z
Sr1 0.000 0.000 0.000
Ge1 0.500 0.500 0.500
Sb1 0.234 0.234 0.234
Sb2 0.766 0.766 0.766
# Raw formation energy ... -211 meV/atom
# Crystal system ... trigonal

# Pa3Ge2Ir | Alexandria | PBE | relaxed
data_Pa3Ge2Ir
_chemical_formula_sum 'Pa12 Ge8 Ir4'
_space_group_name_H-M_alt 'P 1'
_space_group_IT_number 1
_space_group_name_Hall 'P 1'
_cell_length_a 11.898
_cell_length_b 4.099
_cell_length_c 10.998
_cell_angle_alpha 90.00
_cell_angle_beta 90.00
_cell_angle_gamma 90.00
loop_
_atom_site_label
_atom_site_fract_x
_atom_site_fract_y
_atom_site_fract_z
Pa1 0.048 0.250 0.117
Pa2 0.128 0.750 0.563
Pa3 0.232 0.250 0.780
Pa4 0.268 0.750 0.280
Pa5 0.372 0.250 0.063
Pa6 0.452 0.750 0.617
Pa7 0.548 0.250 0.383
Pa8 0.628 0.750 0.937
Pa9 0.732 0.250 0.720
Pa10 0.768 0.750 0.220
Pa11 0.872 0.250 0.437
Pa12 0.952 0.750 0.883
Ge1 0.004 0.750 0.299
Ge2 0.188 0.750 0.999
Ge3 0.312 0.250 0.499
Ge4 0.496 0.250 0.799
Ge5 0.504 0.750 0.201
Ge6 0.688 0.750 0.501
Ge7 0.812 0.250 0.001
Ge8 0.996 0.250 0.701
Ir1 0.123 0.250 0.376
Ir2 0.377 0.750 0.876
Ir3 0.623 0.250 0.124
Ir4 0.877 0.750 0.624
# Energy of formation from the pure elements ... -0.58 eV/atom
# Crystal system ... orthorhombic

# NiPbSe2Br | Alexandria | PBE | relaxed
data_NiPbSe2Br
_chemical_formula_sum 'Ni1 Pb1 Se2 Br1'
_space_group_name_H-M_alt 'P 1'
_space_group_IT_number 1
_space_group_name_Hall 'P 1'
_cell_length_a 4.814
_cell_length_b 4.814
_cell_length_c 5.021
_cell_angle_alpha 90.00
_cell_angle_beta 90.00
_cell_angle_gamma 90.00
loop_
_atom_site_label
_atom_site_fract_x
_atom_site_fract_y
_atom_site_fract_z
Ni1 0.000 0.000 0.000
Pb1 0.500 0.500 0.500
Se1 0.000 0.500 0.000
Se2 0.500 0.000 0.000
Br1 0.000 0.000 0.500
# Raw formation energy ... -130 meV/atom
# ΔE to the lowest computed polymorph ... 0.000 eV per atom
# Crystal system ... tetragonal

# Eu2InAu | Alexandria | PBE | relaxed
data_Eu2InAu
_chemical_formula_sum 'Eu2 In1 Au1'
_space_group_name_H-M_alt 'P 1'
_space_group_IT_number 1
_space_group_name_Hall 'P 1'
_cell_length_a 10.791
_cell_length_b 10.791
_cell_length_c 10.791
_cell_angle_alpha 21.53
_cell_angle_beta 21.53
_cell_angle_gamma 21.53
loop_
_atom_site_label
_atom_site_fract_x
_atom_site_fract_y
_atom_site_fract_z
Eu1 0.106 0.106 0.106
Eu2 0.894 0.894 0.894
In1 0.000 0.000 0.000
Au1 0.500 0.500 0.500
# ΔE to the lowest computed polymorph ... 0.384 eV per atom
# Energy of formation from the pure elements ... -0.23 eV/atom
# Crystal system ... trigonal

# TcNi2S | Alexandria | PBE | relaxed
data_TcNi2S
_chemical_formula_sum 'Tc2 Ni4 S2'
_space_group_name_H-M_alt 'P 1'
_space_group_IT_number 1
_space_group_name_Hall 'P 1'
_cell_length_a 4.499
_cell_length_b 5.267
_cell_length_c 5.302
_cell_angle_alpha 118.74
_cell_angle_beta 91.19
_cell_angle_gamma 112.03
loop_
_atom_site_label
_atom_site_fract_x
_atom_site_fract_y
_atom_site_fract_z
Tc1 0.000 0.000 0.000
Tc2 0.459 0.385 0.822
Ni1 0.427 0.897 0.233
Ni2 0.446 0.857 0.713
Ni3 0.890 0.794 0.406
Ni4 0.937 0.376 0.546
S1 0.468 0.395 0.400
S2 0.980 0.431 0.992
# Raw formation energy ... -48 meV/atom
# Crystal system ... triclinic

# AcSm2In | Alexandria | PBE | relaxed
data_AcSm2In
_chemical_formula_sum 'Ac1 Sm2 In1'
_space_group_name_H-M_alt 'P 1'
_space_group_IT_number 1
_space_group_name_Hall 'P 1'
_cell_length_a 6.636
_cell_length_b 6.636
_cell_length_c 6.636
_cell_angle_alpha 47.63
_cell_angle_beta 47.63
_cell_angle_gamma 47.63
loop_
_atom_site_label
_atom_site_fract_x
_atom_site_fract_y
_atom_site_fract_z
Ac1 0.000 0.000 0.000
Sm1 0.551 0.551 0.551
Sm2 0.784 0.784 0.784
In1 0.202 0.202 0.202
# ΔE to the lowest computed polymorph ... 0.199 eV per atom
# Energy of formation from the pure elements ... -0.02 eV/atom
# Crystal system ... trigonal

| no. | size of the total moment (μB/f.u.) | calculated total energy (eV/atom) |
| --- | --- | --- |
| 1 | 0.00 | -9.14 |
| 2 | 0.00 | -2.47 |
| 3 | 0.00 | -3.95 |
| 4 | 0.02 | -5.43 |
| 5 | 0.00 | -4.68 |
| 6 | 0.00 | -4.40 |
| 7 | 0.00 | -3.71 |
| 8 | 0.00 | -3.85 |
| 9 | 0.00 | -8.34 |
| 10 | 0.00 | -3.76 |
| 11 | 14.53 | -6.87 |
| 12 | 0.00 | -6.56 |
| 13 | 0.00 | -4.10 |